1.
! Ho3MnSe6 PBE optimized geometry; values from VASP
&SYSTEM
  ibrav = 0, nat = 20, ntyp = 3
/
ATOMIC_SPECIES
Ho 164.93 Ho.upf
Mn 54.94 Mn.upf
Se 78.96 Se.upf
CELL_PARAMETERS angstrom
5.556 -6.841 0.000
5.556 6.841 0.000
0.000 0.000 6.807
ATOMIC_POSITIONS angstrom
Ho 5.556 5.488 3.404
Ho 3.543 1.347 4.045
Ho 3.543 -1.347 0.641
Ho 7.570 1.347 4.045
Ho 7.570 -1.347 0.641
Ho 5.556 -5.488 0.000
Mn 5.556 2.775 0.919
Mn 5.556 -2.775 4.322
Se 3.662 3.649 2.145
Se 1.811 0.448 2.018
Se 1.811 -0.448 5.422
Se 5.556 3.039 5.282
Se 7.451 3.649 2.145
Se 5.556 0.530 1.972
Se 5.556 -0.530 5.376
Se 3.662 -3.649 5.549
Se 5.556 -3.039 1.878
Se 9.302 0.448 2.018
Se 9.302 -0.448 5.422
Se 7.451 -3.649 5.549
! Formation energy without anion corrections ... -1.440 eV/atom
! Mass density ... 6.6 g cm⁻³
! Crystal system ... orthorhombic

---

2.
! Ho5MnSe4 PBE optimized geometry; values from VASP
&SYSTEM
  ibrav = 0, nat = 10, ntyp = 3
/
ATOMIC_SPECIES
Ho 164.93 Ho.upf
Mn 54.94 Mn.upf
Se 78.96 Se.upf
CELL_PARAMETERS angstrom
-4.563 4.563 2.883
4.563 -4.563 2.883
4.563 4.563 -2.883
ATOMIC_POSITIONS angstrom
Ho 0.000 0.000 0.000
Ho 5.454 1.938 -0.017
Ho 1.938 3.672 -0.017
Ho 2.626 0.891 2.866
Ho -0.891 2.626 2.866
Mn 0.000 0.000 2.880
Se 2.794 0.852 -0.016
Se 3.711 -1.769 2.867
Se 0.852 6.332 -0.016
Se 1.769 3.711 2.867
! Formation energy without anion corrections ... -1.254 eV/atom
! Mass density ... 8.3 g cm⁻³
! Crystal system ... tetragonal

---

3.
! Ho2MnSe4 PBE optimized geometry; values from VASP
&SYSTEM
  ibrav = 0, nat = 14, ntyp = 3
/
ATOMIC_SPECIES
Ho 164.93 Ho.upf
Mn 54.94 Mn.upf
Se 78.96 Se.upf
CELL_PARAMETERS angstrom
0.000 5.784 5.784
5.784 0.000 5.784
5.784 5.784 0.000
ATOMIC_POSITIONS angstrom
Ho 0.000 0.000 0.000
Ho 2.892 2.892 0.000
Ho 2.892 0.000 2.892
Ho 0.000 2.892 2.892
Mn 4.338 4.338 4.338
Mn 7.230 7.230 7.230
Se 8.713 5.749 5.750
Se 2.857 2.858 2.856
Se 5.820 5.820 2.858
Se 5.820 2.858 5.820
Se 5.750 8.712 5.748
Se 5.749 5.750 8.713
Se 8.712 8.711 8.713
Se 2.856 5.820 5.819
! Formation energy without anion corrections ... -1.456 eV/atom
! Mass density ... 6.0 g cm⁻³
! Crystal system ... cubic

---

4.
! HoMnSe3 PBE optimized geometry; values from VASP
&SYSTEM
  ibrav = 0, nat = 10, ntyp = 3
/
ATOMIC_SPECIES
Ho 164.93 Ho.upf
Mn 54.94 Mn.upf
Se 78.96 Se.upf
CELL_PARAMETERS angstrom
7.328 0.000 0.000
0.000 3.918 0.000
-0.623 0.000 7.880
ATOMIC_POSITIONS angstrom
Ho 0.743 0.979 2.256
Ho 5.962 2.938 5.624
Mn 2.021 2.938 6.606
Mn 4.684 0.979 1.273
Se 0.338 0.979 7.119
Se 1.273 2.938 4.249
Se 2.863 2.938 1.285
Se 3.842 0.979 6.595
Se 5.432 0.979 3.631
Se 6.366 2.938 0.761
! Formation energy without anion corrections ... -1.094 eV/atom
! Mass density ... 6.7 g cm⁻³
! Crystal system ... monoclinic

---

5.
! Sm2HoMnSe6 PBE optimized geometry; values from VASP
&SYSTEM
  ibrav = 0, nat = 10, ntyp = 4
/
ATOMIC_SPECIES
Sm 150.36 Sm.upf
Ho 164.93 Ho.upf
Mn 54.94 Mn.upf
Se 78.96 Se.upf
CELL_PARAMETERS angstrom
7.122 0.000 0.000
-3.559 6.180 0.000
-3.551 -2.062 6.264
ATOMIC_POSITIONS angstrom
Sm 0.000 0.000 0.000
Sm -3.557 2.061 3.151
Ho 0.003 4.118 0.661
Mn 0.007 -0.003 3.748
Se -0.872 1.884 2.117
Se -2.200 0.272 5.133
Se 2.070 -0.182 2.120
Se -2.684 4.120 5.138
Se 1.351 1.776 5.138
Se 2.375 4.476 2.117
! Formation energy without anion corrections ... -1.413 eV/atom
! Mass density ... 6.0 g cm⁻³
! Crystal system ... triclinic

---

6.
! Sr3Ho3MnSe8 PBE optimized geometry; values from VASP
&SYSTEM
  ibrav = 0, nat = 15, ntyp = 4
/
ATOMIC_SPECIES
Sr 87.62 Sr.upf
Ho 164.93 Ho.upf
Mn 54.94 Mn.upf
Se 78.96 Se.upf
CELL_PARAMETERS angstrom
4.137 2.388 7.103
-4.137 2.388 7.103
0.000 -4.777 7.103
ATOMIC_POSITIONS angstrom
Sr -2.068 -1.194 7.103
Sr -2.068 1.194 14.207
Sr 0.000 2.388 7.103
Ho -4.137 0.000 10.655
Ho -2.068 1.194 3.552
Ho 2.068 1.194 3.552
Mn 0.000 0.000 10.655
Se 0.000 0.000 5.177
Se -2.033 -1.174 12.212
Se 0.000 -2.348 9.098
Se -2.033 1.174 9.098
Se 2.033 -1.174 12.212
Se 0.000 2.348 12.212
Se 2.033 1.174 9.098
Se 0.000 0.000 16.133
! Formation energy without anion corrections ... -1.710 eV/atom
! Mass density ... 5.7 g cm⁻³
! Crystal system ... trigonal

---

7.
! Ho3MnTl4Se8 PBE optimized geometry; values from VASP
&SYSTEM
  ibrav = 0, nat = 16, ntyp = 4
/
ATOMIC_SPECIES
Ho 164.93 Ho.upf
Mn 54.94 Mn.upf
Tl 204.38 Tl.upf
Se 78.96 Se.upf
CELL_PARAMETERS angstrom
4.107 2.371 7.656
-4.107 2.371 7.656
0.000 -4.742 7.656
ATOMIC_POSITIONS angstrom
Ho -2.053 -1.186 7.656
Ho -2.053 1.186 15.313
Ho 0.000 2.371 7.656
Mn 0.000 0.000 0.000
Tl -4.107 0.000 11.485
Tl -2.053 1.186 3.828
Tl 2.053 1.186 3.828
Tl 0.000 0.000 11.485
Se 0.000 -2.477 9.180
Se -2.145 1.239 9.180
Se -2.145 -1.239 13.790
Se 0.000 0.000 6.070
Se 0.000 0.000 16.900
Se 2.145 1.239 9.180
Se 2.145 -1.239 13.790
Se 0.000 2.477 13.790
! Formation energy without anion corrections ... -1.109 eV/atom
! Mass density ... 7.4 g cm⁻³
! Crystal system ... trigonal

---

8.
! HoTmMnSe4 PBE optimized geometry; values from VASP
&SYSTEM
  ibrav = 0, nat = 14, ntyp = 4
/
ATOMIC_SPECIES
Ho 164.93 Ho.upf
Tm 168.93 Tm.upf
Mn 54.94 Mn.upf
Se 78.96 Se.upf
CELL_PARAMETERS angstrom
-4.073 4.084 5.769
4.073 -4.084 5.769
4.073 4.084 -5.769
ATOMIC_POSITIONS angstrom
Ho 0.000 0.000 0.000
Ho 0.000 4.084 0.000
Tm -2.036 2.042 2.884
Tm 2.036 2.042 2.884
Mn 4.073 2.042 -1.448
Mn 0.000 2.042 7.217
Se 1.993 2.042 0.050
Se 2.080 -2.042 5.819
Se 0.000 0.067 2.855
Se 4.073 0.067 2.914
Se 0.000 4.017 2.855
Se 4.073 4.017 2.914
Se 1.993 6.126 -0.050
Se 2.080 2.042 5.719
! Formation energy without anion corrections ... -1.454 eV/atom
! Mass density ... 6.1 g cm⁻³
! Crystal system ... orthorhombic

---

9.
! Ho2MnSi PBE optimized geometry; values from VASP
&SYSTEM
  ibrav = 0, nat = 12, ntyp = 3
/
ATOMIC_SPECIES
Ho 164.93 Ho.upf
Mn 54.94 Mn.upf
Si 28.09 Si.upf
CELL_PARAMETERS angstrom
3.410 0.000 0.000
-1.705 2.953 0.000
0.000 0.000 29.801
ATOMIC_POSITIONS angstrom
Ho 0.000 0.000 2.921
Ho 0.000 0.000 26.879
Ho 0.000 1.969 16.946
Ho 0.000 1.969 22.788
Ho 1.705 0.984 7.012
Ho 1.705 0.984 12.855
Mn 0.000 0.000 0.000
Mn 0.000 1.969 19.867
Mn 1.705 0.984 9.934
Si 0.000 0.000 14.900
Si 0.000 1.969 4.967
Si 1.705 0.984 24.834
! Formation energy without anion corrections ... 0.377 eV/atom
! Mass density ... 6.9 g cm⁻³
! Crystal system ... trigonal

---

10.
! Ho4MnSi7 PBE optimized geometry; values from VASP
&SYSTEM
  ibrav = 0, nat = 12, ntyp = 3
/
ATOMIC_SPECIES
Ho 164.93 Ho.upf
Mn 54.94 Mn.upf
Si 28.09 Si.upf
CELL_PARAMETERS angstrom
4.107 0.000 0.000
0.000 1.955 14.426
0.000 -1.955 14.426
ATOMIC_POSITIONS angstrom
Ho 0.000 0.000 0.000
Ho 0.000 0.000 11.141
Ho 2.053 0.000 3.417
Ho 2.053 0.000 20.943
Mn 2.053 0.000 24.122
Si 0.000 0.000 5.794
Si 0.000 0.000 18.690
Si 0.000 0.000 23.154
Si 2.053 0.000 8.685
Si 2.053 0.000 13.370
Si 2.053 0.000 15.667
Si 2.053 0.000 26.421
! Formation energy without anion corrections ... -0.570 eV/atom
! Mass density ... 6.5 g cm⁻³
! Crystal system ... orthorhombic

---

11.
! HoMn3Si2 PBE optimized geometry; values from VASP
&SYSTEM
  ibrav = 0, nat = 12, ntyp = 3
/
ATOMIC_SPECIES
Ho 164.93 Ho.upf
Mn 54.94 Mn.upf
Si 28.09 Si.upf
CELL_PARAMETERS angstrom
6.986 -1.958 0.000
6.986 1.958 0.000
-3.136 0.000 6.422
ATOMIC_POSITIONS angstrom
Ho 1.849 0.000 0.413
Ho 8.986 0.000 6.009
Mn -0.670 0.000 2.455
Mn 2.551 0.000 3.366
Mn 4.659 0.000 2.347
Mn 6.177 0.000 4.075
Mn 8.285 0.000 3.056
Mn 11.506 0.000 3.967
Si 0.452 0.000 4.509
Si 4.112 0.000 5.212
Si 6.724 0.000 1.210
Si 10.383 0.000 1.913
! Formation energy without anion corrections ... -0.461 eV/atom
! Mass density ... 7.3 g cm⁻³
! Crystal system ... monoclinic

---

12.
! HoMn2Si2 PBE optimized geometry; values from VASP
&SYSTEM
  ibrav = 0, nat = 10, ntyp = 3
/
ATOMIC_SPECIES
Ho 164.93 Ho.upf
Mn 54.94 Mn.upf
Si 28.09 Si.upf
CELL_PARAMETERS angstrom
3.879 0.000 0.000
0.000 3.879 0.000
0.000 0.000 10.322
ATOMIC_POSITIONS angstrom
Ho 0.000 0.000 0.000
Ho 1.940 1.940 5.161
Mn 0.000 1.940 2.581
Mn 0.000 1.940 7.742
Mn 1.940 0.000 2.581
Mn 1.940 0.000 7.742
Si 0.000 0.000 3.927
Si 0.000 0.000 6.395
Si 1.940 1.940 1.234
Si 1.940 1.940 9.088
! Formation energy without anion corrections ... -0.625 eV/atom
! Mass density ... 7.1 g cm⁻³
! Crystal system ... tetragonal